No. 1
Computed, not measured: an optimized crystal structure of Tm6Tl5Sn at the PBE level of DFT.

a b c (Å): 5.333 7.421 16.030
angles (deg): 90.00 90.00 90.00
Space group Immm (No. 71)
One atom of each set of equivalent atoms:
Tm1 0.000 0.245 0.000
Tm2 0.000 0.253 0.335
Tl1 0.000 0.000 0.172
Tl2 0.000 0.000 0.500
Tl3 0.000 0.500 0.165
Sn1 0.000 0.500 0.500

Total magnetic moment in μB per atom: 0.0000
Polymorph energy (0 for the lowest one) in kJ per mole of atoms: 0.00
Formation enthalpy at 0 K in meV/atom: -332.5
Calculated density in Mg/m³: 11.28



No. 2
Computed, not measured: an optimized crystal structure of DyThTcRu at the PBE level of DFT.

a b c (Å): 6.957 6.957 6.957
angles (deg): 90.00 90.00 90.00
Space group F-43m (No. 216)
One atom of each set of equivalent atoms:
Dy1 0.000 0.000 0.000
Th1 0.000 0.000 0.500
Tc1 0.250 0.250 0.250
Ru1 0.250 0.250 0.750

Total magnetic moment in μB per atom: 0.0000
Formation enthalpy at 0 K in meV/atom: -223.0
Calculated density in Mg/m³: 11.71



No. 3
Computed, not measured: an optimized crystal structure of AlPd2Br at the PBE level of DFT.

a b c (Å): 6.483 6.483 6.483
angles (deg): 90.00 90.00 90.00
Space group Fm-3m (No. 225)
One atom of each set of equivalent atoms:
Al1 0.000 0.000 0.000
Pd1 0.250 0.250 0.250
Br1 0.000 0.000 0.500

Formation energy from raw total energies in eV/atom: -0.1230
Total magnetic moment in μB per atom: 0.0000
Polymorph energy (0 for the lowest one) in kJ per mole of atoms: 0.00
Calculated density in Mg/m³: 7.79



No. 4
Computed, not measured: an optimized crystal structure of KIrN at the PBE level of DFT.

a b c (Å): 5.830 5.830 5.830
angles (deg): 90.00 90.00 90.00
Space group P2_13 (No. 198)
One atom of each set of equivalent atoms:
K1 0.141 0.141 0.141
Ir1 0.143 0.357 0.643
N1 0.098 0.598 0.902

Formation energy from raw total energies in eV/atom: 0.5448
Total magnetic moment in μB per atom: 0.0000
Polymorph energy (0 for the lowest one) in kJ per mole of atoms: 23.36
Calculated density in Mg/m³: 8.22



No. 5
Computed, not measured: an optimized crystal structure of Na3Pm2HoTe6 at the PBE level of DFT.

a b c (Å): 7.767 13.457 8.002
angles (deg): 90.00 108.90 90.00
Space group C2/m (No. 12)
One atom of each set of equivalent atoms:
Na1 0.000 0.000 0.000
Na2 0.000 0.331 0.000
Pm1 0.000 0.166 0.500
Ho1 0.000 0.500 0.500
Te1 0.242 0.337 0.735
Te2 0.248 0.500 0.265

Formation energy from raw total energies in eV/atom: -1.3222
Total magnetic moment in μB per atom: 0.0000
Calculated density in Mg/m³: 5.41



No. 6
Computed, not measured: an optimized crystal structure of Zr4AsSe at the PBE level of DFT.

a b c (Å): 8.087 8.087 8.087
angles (deg): 90.00 90.00 90.00
Space group F-43m (No. 216)
One atom of each set of equivalent atoms:
Zr1 0.124 0.124 0.124
As1 0.250 0.250 0.750
Se1 0.000 0.000 0.500

Formation energy from raw total energies in eV/atom: 0.1343
Total magnetic moment in μB per atom: 0.0000
Calculated density in Mg/m³: 6.52